# 1
ZnPPt2 after structural relaxation. Source: the Alexandria database, functional PBE.

a b c (Å): 4.530 4.530 2.907
angles (deg): 90.00 90.00 96.45
Fractional positions:
1 Zn 0.000 0.000 0.000
2 P 0.500 0.500 0.000
3 Pt 0.000 0.500 0.500
4 Pt 0.500 0.000 0.500

Calculated values
- D(E_F) (states/eV/f.u.) = 1.65
- ΔH_f (0 K) (eV per atom) = -0.19
- magnetization (μB per atom) = 0.0000
- SG = Cmmm
- volume (A^3/atom) = 14.82


# 2
ZnP2Pt after structural relaxation. Source: the Alexandria database, functional PBE.

a b c (Å): 4.341 3.453 4.782
angles (deg): 90.00 107.23 90.00
Fractional positions:
1 Zn 0.000 0.000 0.000
2 P 0.222 0.500 0.681
3 P 0.778 0.500 0.319
4 Pt 0.500 0.000 0.500

Calculated values
- D(E_F) (states/eV/f.u.) = 1.32
- ΔH_f (0 K) (eV per atom) = -0.22
- magnetization (μB per atom) = 0.0000
- SG = P2/m
- volume (A^3/atom) = 17.12


# 3
Zn2PPt after structural relaxation. Source: the Alexandria database, functional PBE.

a b c (Å): 2.821 2.827 7.879
angles (deg): 90.00 90.00 90.00
Fractional positions:
1 Zn 0.000 0.000 0.226
2 Zn 0.000 0.000 0.774
3 P 0.000 0.500 0.500
4 Pt 0.500 0.500 0.000

Calculated values
- D(E_F) (states/eV/f.u.) = 1.17
- ΔH_f (0 K) (eV per atom) = -0.17
- magnetization (μB per atom) = 0.0000
- SG = Pmmm
- volume (A^3/atom) = 15.71